1.
A relaxed BaY2ScRh crystal. Source: the Alexandria database, functional PBE.

Calculated values
space-group type = P4/mmm (123)
E_form = 1.14 eV/atom
density of states at the Fermi level = 1.89 states/eV per atom
size of the total moment = 0.205 μB/atom

Unit cell a=5.370 b=5.787 c=5.370 alpha=90.00 beta=90.00 gamma=90.00
Sites, in units of the cell vectors:
Rh  0.500  0.500  0.500
Y  0.500  0.000  0.000
Y  0.000  0.000  0.500
Ba  0.000  0.500  0.000
Sc  0.000  0.000  0.000

2.
A relaxed ZnCdGaOs2 crystal. Source: the Alexandria database, functional PBE.

Calculated values
space-group type = P4/mmm (123)
E_form = 1.48 eV/atom
density of states at the Fermi level = 0.97 states/eV per atom
size of the total moment = 0.210 μB/atom

Unit cell a=4.631 b=4.377 c=4.631 alpha=90.00 beta=90.00 gamma=90.00
Sites, in units of the cell vectors:
Cd  0.500  0.500  0.500
Os  0.000  0.000  0.500
Os  0.500  0.000  0.000
Zn  0.000  0.000  0.000
Ga  0.000  0.500  0.000

3.
A relaxed SrTb4Rh5 crystal. Source: the Alexandria database, functional PBE.

Calculated values
space-group type = P4/mmm (123)
E_form = -0.71 eV/atom
density of states at the Fermi level = 0.65 states/eV per atom
size of the total moment = 0.000 μB/atom

Unit cell a=3.464 b=3.464 c=17.530 alpha=90.00 beta=90.00 gamma=90.00
Sites, in units of the cell vectors:
Tb  0.000  0.000  0.793
Tb  0.000  0.000  0.597
Tb  0.000  0.000  0.207
Tb  0.000  0.000  0.403
Rh  0.500  0.500  0.121
Rh  0.500  0.500  0.879
Rh  0.500  0.500  0.500
Rh  0.500  0.500  0.308
Rh  0.500  0.500  0.692
Sr  0.000  0.000  0.000